[1]
Density functional theory data (GGA-PBE) for an optimized crystal structure of AcSmTc4.

Cell: 5.5421 5.5421 5.5421 Å, 60.00 60.00 60.00°
Closest atoms and distances in Å follow each position.
Element x y z (fractional)
1 Ac 0.0000 0.0000 0.0000  12 Tc 3.25, 4 Sm 3.39
2 Sm 0.2500 0.2500 0.2500  12 Tc 3.25, 4 Ac 3.39
3 Tc 0.1261 0.6246 0.6246  6 Tc 2.76-2.78
4 Tc 0.6246 0.1261 0.6246  6 Tc 2.76-2.78
5 Tc 0.6246 0.6246 0.1261  6 Tc 2.76-2.78
6 Tc 0.6246 0.6246 0.6246  6 Tc 2.76-2.78

Properties
Formation energy from the elements (kJ per mole of atoms): 17.1

---

[2]
Density functional theory data (GGA-PBE) for an optimized crystal structure of Ac4Sm3Te8.

Cell: 10.2146 10.2146 10.2146 Å, 50.98 50.98 50.98°
Closest atoms and distances in Å follow each position.
Element x y z (fractional)
1 Ac 0.0000 0.0000 0.0000  6 Te 3.34
2 Ac 0.1503 0.1503 0.1503  4 Te 3.16-3.27
3 Ac 0.5000 0.5000 0.5000  6 Te 3.41
4 Ac 0.8497 0.8497 0.8497  4 Te 3.16-3.27
5 Sm 0.0000 0.5000 0.5000  6 Te 3.06-3.23
6 Sm 0.5000 0.0000 0.5000  6 Te 3.06-3.23
7 Sm 0.5000 0.5000 0.0000  6 Te 3.06-3.23
8 Te 0.2499 0.2499 0.7321  2 Sm 3.23, 3 Ac 3.27-3.41
9 Te 0.2499 0.7321 0.2499  2 Sm 3.23, 3 Ac 3.27-3.41
10 Te 0.2679 0.7501 0.7501  2 Sm 3.23, 3 Ac 3.27-3.41
11 Te 0.2690 0.2690 0.2690  3 Sm 3.06, 1 Ac 3.16
12 Te 0.7310 0.7310 0.7310  3 Sm 3.06, 1 Ac 3.16
13 Te 0.7321 0.2499 0.2499  2 Sm 3.23, 3 Ac 3.27-3.41
14 Te 0.7501 0.2679 0.7501  2 Sm 3.23, 3 Ac 3.27-3.41
15 Te 0.7501 0.7501 0.2679  2 Sm 3.23, 3 Ac 3.27-3.41

Properties
E_tot (eV/atom): -4.975

---

[3]
Density functional theory data (GGA-PBE) for an optimized crystal structure of Ac5SmTe8.

Cell: 8.5744 8.5744 8.5744 Å, 109.49 109.49 109.43°
Closest atoms and distances in Å follow each position.
Element x y z (fractional)
1 Ac 0.0000 0.0000 0.0000  8 Te 3.37-3.52
2 Ac 0.2477 0.1241 0.6227  8 Te 3.33-3.60
3 Ac 0.3750 0.7523 0.8763  8 Te 3.33-3.60
4 Ac 0.5014 0.6250 0.3773  8 Te 3.33-3.60
5 Ac 0.8759 0.4986 0.1237  8 Te 3.33-3.60
6 Sm 0.7500 0.2500 0.5000  8 Te 3.27-3.46
7 Te 0.1165 0.3702 0.8918  1 Sm 3.27, 5 Ac 3.33-3.60
8 Te 0.1213 0.3738 0.4051  5 Ac 3.35-3.50, 1 Sm 3.46, 2 Te 3.70-3.71
9 Te 0.2837 0.8787 0.2525  5 Ac 3.35-3.50, 1 Sm 3.46, 2 Te 3.70-3.71
10 Te 0.4785 0.2248 0.1082  1 Sm 3.27, 5 Ac 3.33-3.60
11 Te 0.6262 0.0312 0.7475  5 Ac 3.35-3.50, 1 Sm 3.46, 2 Te 3.70-3.71
12 Te 0.6298 0.5215 0.7463  1 Sm 3.27, 5 Ac 3.33-3.60
13 Te 0.7752 0.8835 0.2537  1 Sm 3.27, 5 Ac 3.33-3.60
14 Te 0.9688 0.7163 0.5949  5 Ac 3.35-3.50, 1 Sm 3.46, 2 Te 3.70-3.71

Properties
E_tot (eV/atom): -5.136

---

[4]
Density functional theory data (GGA-PBE) for an optimized crystal structure of Ac2SmTe4.

Cell: 8.1437 8.1437 15.6455 Å, 90.00 90.00 148.31°
Closest atoms and distances in Å follow each position.
Element x y z (fractional)
1 Ac 0.1322 0.8678 0.5753  6 Te 3.26-3.42
2 Ac 0.1322 0.8678 0.9247  6 Te 3.26-3.42
3 Ac 0.8678 0.1322 0.0753  6 Te 3.26-3.42
4 Ac 0.8678 0.1322 0.4247  6 Te 3.26-3.42
5 Sm 0.3701 0.6299 0.7500  6 Te 3.18-3.24
6 Sm 0.6299 0.3701 0.2500  6 Te 3.18-3.24
7 Te 0.0154 0.9846 0.7500  2 Sm 3.18, 2 Ac 3.29
8 Te 0.2162 0.7838 0.1266  2 Sm 3.24, 3 Ac 3.35-3.42
9 Te 0.2162 0.7838 0.3734  2 Sm 3.24, 3 Ac 3.35-3.42
10 Te 0.5000 0.5000 0.0000  4 Ac 3.26
11 Te 0.5000 0.5000 0.5000  4 Ac 3.26
12 Te 0.7838 0.2162 0.6266  2 Sm 3.24, 3 Ac 3.35-3.42
13 Te 0.7838 0.2162 0.8734  2 Sm 3.24, 3 Ac 3.35-3.42
14 Te 0.9846 0.0154 0.2500  2 Sm 3.18, 2 Ac 3.29

Properties
E_tot (eV/atom): -5.083

---

[5]
Density functional theory data (GGA-PBE) for an optimized crystal structure of Ac2Sm3Te6.

Cell: 7.7957 7.7957 8.0199 Å, 99.41 99.41 119.81°
Closest atoms and distances in Å follow each position.
Element x y z (fractional)
1 Ac 0.1651 0.8349 0.0000  6 Te 3.29-3.31
2 Ac 0.8349 0.1651 0.0000  6 Te 3.29-3.31
3 Sm 0.0000 0.0000 0.5000  6 Te 3.14-3.24
4 Sm 0.3310 0.6690 0.5000  6 Te 3.14-3.21
5 Sm 0.6690 0.3310 0.5000  6 Te 3.14-3.21
6 Te 0.0904 0.4136 0.7392  3 Sm 3.14-3.21, 2 Ac 3.31
7 Te 0.2648 0.2648 0.2623  3 Sm 3.15-3.24, 2 Ac 3.29
8 Te 0.4136 0.0904 0.7392  3 Sm 3.14-3.21, 2 Ac 3.31
9 Te 0.5864 0.9096 0.2608  3 Sm 3.14-3.21, 2 Ac 3.31
10 Te 0.7352 0.7352 0.7377  3 Sm 3.15-3.24, 2 Ac 3.29
11 Te 0.9096 0.5864 0.2608  3 Sm 3.14-3.21, 2 Ac 3.31

Properties
E_tot (eV/atom): -5.230

---

[6]
Density functional theory data (GGA-PBE) for an optimized crystal structure of Ac3SmTe6.

Cell: 7.7845 8.6932 13.8361 Å, 90.00 121.98 90.00°
Closest atoms and distances in Å follow each position.
Element x y z (fractional)
1 Ac 0.0000 0.0000 0.0000  6 Te 3.25-3.29
2 Ac 0.0000 0.5000 0.5000  6 Te 3.25-3.29
3 Ac 0.3042 0.1110 0.7567  6 Te 3.32-3.55
4 Ac 0.3042 0.3890 0.2567  6 Te 3.32-3.55
5 Ac 0.6958 0.6110 0.7433  6 Te 3.32-3.55
6 Ac 0.6958 0.8890 0.2433  6 Te 3.32-3.55
7 Sm 0.5000 0.0000 0.5000  6 Te 3.08-3.15
8 Sm 0.5000 0.5000 0.0000  6 Te 3.08-3.15
9 Te 0.1020 0.0540 0.2604  1 Sm 3.15, 3 Ac 3.29-3.36
10 Te 0.1020 0.4460 0.7604  1 Sm 3.15, 3 Ac 3.29-3.36
11 Te 0.2532 0.6756 0.0803  1 Sm 3.08, 2 Ac 3.28-3.36
12 Te 0.2532 0.8244 0.5803  1 Sm 3.08, 2 Ac 3.28-3.36
13 Te 0.4160 0.1844 0.0742  1 Sm 3.12, 2 Ac 3.25-3.38
14 Te 0.4160 0.3156 0.5742  1 Sm 3.12, 2 Ac 3.25-3.38
15 Te 0.5840 0.6844 0.4258  1 Sm 3.12, 2 Ac 3.25-3.38
16 Te 0.5840 0.8156 0.9258  1 Sm 3.12, 2 Ac 3.25-3.38
17 Te 0.7468 0.1756 0.4197  1 Sm 3.08, 2 Ac 3.28-3.36
18 Te 0.7468 0.3244 0.9197  1 Sm 3.08, 2 Ac 3.28-3.36
19 Te 0.8980 0.5540 0.2396  1 Sm 3.15, 3 Ac 3.29-3.36
20 Te 0.8980 0.9460 0.7396  1 Sm 3.15, 3 Ac 3.29-3.36

Properties
E_tot (eV/atom): -5.094

---

[7]
Density functional theory data (GGA-PBE) for an optimized crystal structure of AcSmTe.

Cell: 12.6210 5.5702 6.2176 Å, 90.00 90.00 90.00°
Closest atoms and distances in Å follow each position.
Element x y z (fractional)
1 Ac 0.1990 0.2500 0.1306  4 Te 3.23-3.59
2 Ac 0.3010 0.7500 0.6306  4 Te 3.23-3.59
3 Ac 0.6990 0.2500 0.3694  4 Te 3.23-3.59
4 Ac 0.8010 0.7500 0.8694  4 Te 3.23-3.59
5 Sm 0.0144 0.2500 0.6330  4 Te 3.24-3.31, 2 Sm 3.26
6 Sm 0.4856 0.7500 0.1330  4 Te 3.24-3.31, 2 Sm 3.26
7 Sm 0.5144 0.2500 0.8670  4 Te 3.24-3.31, 2 Sm 3.26
8 Sm 0.9856 0.7500 0.3670  4 Te 3.24-3.31, 2 Sm 3.26
9 Te 0.0739 0.7500 0.8690  4 Ac 3.23-3.59, 4 Sm 3.24-3.31
10 Te 0.4261 0.2500 0.3690  4 Ac 3.23-3.59, 4 Sm 3.24-3.31
11 Te 0.5739 0.7500 0.6310  4 Ac 3.23-3.59, 4 Sm 3.24-3.31
12 Te 0.9261 0.2500 0.1310  4 Ac 3.23-3.59, 4 Sm 3.24-3.31

Properties
E_tot (eV/atom): -4.699

---

[8]
Density functional theory data (GGA-PBE) for an optimized crystal structure of AcSm3Te6.

Cell: 12.7664 4.5353 13.1551 Å, 90.00 109.24 90.00°
Closest atoms and distances in Å follow each position.
Element x y z (fractional)
1 Ac 0.0492 0.2500 0.1969  8 Te 3.39-3.49
2 Ac 0.9508 0.7500 0.8031  8 Te 3.39-3.49
3 Sm 0.1560 0.2500 0.5851  6 Te 3.06-3.17
4 Sm 0.3206 0.7500 0.9995  7 Te 3.13-3.33
5 Sm 0.4416 0.2500 0.3349  6 Te 3.11-3.19
6 Sm 0.5584 0.7500 0.6651  6 Te 3.11-3.19
7 Sm 0.6794 0.2500 0.0005  7 Te 3.13-3.33
8 Sm 0.8440 0.7500 0.4149  6 Te 3.06-3.17
9 Te 0.0869 0.7500 0.4066  3 Sm 3.14-3.17, 2 Ac 3.48
10 Te 0.1216 0.2500 0.9675  2 Sm 3.33, 3 Ac 3.39-3.44
11 Te 0.1979 0.7500 0.7504  3 Sm 3.06-3.13
12 Te 0.2649 0.7500 0.2267  3 Sm 3.18-3.29, 2 Ac 3.49
13 Te 0.3898 0.2500 0.5558  4 Sm 3.13-3.19
14 Te 0.4848 0.2500 0.1160  4 Sm 3.11-3.31
15 Te 0.5152 0.7500 0.8840  4 Sm 3.11-3.31
16 Te 0.6102 0.7500 0.4442  4 Sm 3.13-3.19
17 Te 0.7351 0.2500 0.7733  3 Sm 3.18-3.29, 2 Ac 3.49
18 Te 0.8021 0.2500 0.2496  3 Sm 3.06-3.13
19 Te 0.8784 0.7500 0.0325  2 Sm 3.33, 3 Ac 3.39-3.44
20 Te 0.9131 0.2500 0.5934  3 Sm 3.14-3.17, 2 Ac 3.48

Properties
E_tot (eV/atom): -5.186

---

[9]
Density functional theory data (GGA-PBE) for an optimized crystal structure of AcSm4Te6.

Cell: 7.6087 7.6087 22.7768 Å, 90.00 90.00 145.99°
Closest atoms and distances in Å follow each position.
Element x y z (fractional)
1 Ac 0.1575 0.8425 0.7500  6 Te 3.30-3.38
2 Ac 0.8425 0.1575 0.2500  6 Te 3.30-3.38
3 Sm 0.0919 0.9081 0.1230  6 Te 3.10-3.16
4 Sm 0.0919 0.9081 0.3770  6 Te 3.10-3.16
5 Sm 0.3566 0.6434 0.0353  6 Te 3.13-3.23
6 Sm 0.3566 0.6434 0.4647  6 Te 3.13-3.23
7 Sm 0.6434 0.3566 0.5353  6 Te 3.13-3.23
8 Sm 0.6434 0.3566 0.9647  6 Te 3.13-3.23
9 Sm 0.9081 0.0919 0.6230  6 Te 3.10-3.16
10 Sm 0.9081 0.0919 0.8770  6 Te 3.10-3.16
11 Te 0.0000 0.0000 0.0000  6 Sm 3.10-3.15
12 Te 0.0000 0.0000 0.5000  6 Sm 3.10-3.15
13 Te 0.1747 0.8253 0.2500  2 Sm 3.13, 2 Ac 3.30
14 Te 0.2641 0.7359 0.5934  5 Sm 3.13-3.23
15 Te 0.2641 0.7359 0.9066  5 Sm 3.13-3.23
16 Te 0.4509 0.5491 0.1622  3 Sm 3.16-3.20, 2 Ac 3.38
17 Te 0.4509 0.5491 0.3378  3 Sm 3.16-3.20, 2 Ac 3.38
18 Te 0.5491 0.4509 0.6622  3 Sm 3.16-3.20, 2 Ac 3.38
19 Te 0.5491 0.4509 0.8378  3 Sm 3.16-3.20, 2 Ac 3.38
20 Te 0.7359 0.2641 0.0934  5 Sm 3.13-3.23
21 Te 0.7359 0.2641 0.4066  5 Sm 3.13-3.23
22 Te 0.8253 0.1747 0.7500  2 Sm 3.13, 2 Ac 3.30

Properties
E_tot (eV/atom): -5.268

---

[10]
Density functional theory data (GGA-PBE) for an optimized crystal structure of AcSmTe3.

Cell: 8.5241 4.6343 17.7729 Å, 90.00 90.00 90.00°
Closest atoms and distances in Å follow each position.
Element x y z (fractional)
1 Ac 0.1375 0.2500 0.1991  8 Te 3.30-3.65
2 Ac 0.3625 0.7500 0.6991  8 Te 3.30-3.65
3 Ac 0.6375 0.2500 0.3009  8 Te 3.30-3.65
4 Ac 0.8625 0.7500 0.8009  8 Te 3.30-3.65
5 Sm 0.2288 0.7500 0.4578  7 Te 3.19-3.36
6 Sm 0.2712 0.2500 0.9578  7 Te 3.19-3.36
7 Sm 0.7288 0.7500 0.0422  7 Te 3.19-3.36
8 Sm 0.7712 0.2500 0.5422  7 Te 3.19-3.36
9 Te 0.0076 0.2500 0.3951  3 Sm 3.19-3.30
10 Te 0.1212 0.7500 0.0594  3 Sm 3.20-3.36, 2 Ac 3.40
11 Te 0.1547 0.2500 0.7858  1 Sm 3.21, 4 Ac 3.30-3.41
12 Te 0.3453 0.7500 0.2858  1 Sm 3.21, 4 Ac 3.30-3.41
13 Te 0.3788 0.2500 0.5594  3 Sm 3.20-3.36, 2 Ac 3.40
14 Te 0.4924 0.7500 0.8951  3 Sm 3.19-3.30
15 Te 0.5076 0.2500 0.1049  3 Sm 3.19-3.30
16 Te 0.6212 0.7500 0.4406  3 Sm 3.20-3.36, 2 Ac 3.40
17 Te 0.6547 0.2500 0.7142  1 Sm 3.21, 4 Ac 3.30-3.41
18 Te 0.8453 0.7500 0.2142  1 Sm 3.21, 4 Ac 3.30-3.41
19 Te 0.8788 0.2500 0.9406  3 Sm 3.20-3.36, 2 Ac 3.40
20 Te 0.9924 0.7500 0.6049  3 Sm 3.19-3.30

Properties
E_tot (eV/atom): -5.174

---

no.,total magnetic moment (μB per cell)
1,0.22
2,0.00
3,0.00
4,0.00
5,0.00
6,0.00
7,0.00
8,0.00
9,0.00
10,0.00